# 1
A PBEsol-optimized structure of KTlCd2Ag, computed with SCAN.

Lattice parameters (Å, degrees): 5.2889 5.2889 5.4307 90.00 90.00 90.00
Sites, in units of the cell vectors:
1 Tl 0.0000 0.0000 0.5000
2 K 0.5000 0.5000 0.5000
3 Ag 0.0000 0.0000 0.0000
4 Cd 0.0000 0.5000 0.0000
5 Cd 0.5000 0.0000 0.0000

Summary:
The density is 6.30 Mg/m³. The value obtained for the energy of formation is 28 kJ/mol of formula units.



# 2
A PBEsol-optimized structure of La2CdAg, computed with SCAN.

Lattice parameters (Å, degrees): 3.8069 3.8069 7.5682 90.00 90.00 90.00
Sites, in units of the cell vectors:
1 La 0.0000 0.0000 0.7615
2 La 0.0000 0.0000 0.2385
3 Ag 0.5000 0.5000 0.0000
4 Cd 0.5000 0.5000 0.5000

Summary:
The density is 7.54 Mg/m³. The value obtained for the energy of formation is -143 kJ/mol of formula units.



# 3
A PBEsol-optimized structure of La2CdAg, computed with SCAN.

Lattice parameters (Å, degrees): 3.6849 5.1174 5.5909 90.00 90.00 90.00
Sites, in units of the cell vectors:
1 La 0.0000 0.0000 0.0704
2 La 0.0000 0.5000 0.6815
3 Ag 0.5000 0.0000 0.5441
4 Cd 0.5000 0.5000 0.2040

Summary:
The density is 7.85 Mg/m³. The value obtained for the energy of formation is -139 kJ/mol of formula units.



# 4
A PBEsol-optimized structure of La2CdAg, computed with SCAN.

Lattice parameters (Å, degrees): 3.8760 5.0629 6.2813 113.77 107.97 90.00
Sites, in units of the cell vectors:
1 La 0.9850 0.9850 0.9701
2 La 0.7766 0.2766 0.5532
3 Ag 0.5238 0.5238 0.0476
4 Cd 0.2146 0.7146 0.4291

Summary:
The density is 7.79 Mg/m³. The value obtained for the energy of formation is -115 kJ/mol of formula units.



# 5
A PBEsol-optimized structure of LiCd3Ag, computed with SCAN.

Lattice parameters (Å, degrees): 5.1720 5.1720 5.1720 90.00 90.00 90.00
Sites, in units of the cell vectors:
1 Li 0.5000 0.5000 0.5000
2 Ag 0.0000 0.0000 0.0000
3 Cd 0.0000 0.5000 0.0000
4 Cd 0.0000 0.0000 0.5000
5 Cd 0.5000 0.0000 0.0000

Summary:
The density is 5.43 Mg/m³. The value obtained for the energy of formation is 107 kJ/mol of formula units.



# 6
A PBEsol-optimized structure of Li3CdAg, computed with SCAN.

Lattice parameters (Å, degrees): 4.7826 4.7826 4.7826 90.00 90.00 90.00
Sites, in units of the cell vectors:
1 Li 0.0000 0.5000 0.0000
2 Li 0.0000 0.0000 0.5000
3 Li 0.5000 0.0000 0.0000
4 Ag 0.0000 0.0000 0.0000
5 Cd 0.5000 0.5000 0.5000

Summary:
The density is 3.66 Mg/m³. The value obtained for the energy of formation is 49 kJ/mol of formula units.